{
  "formula": "CeDyIrBr",
  "functional": "GGA-PBE",
  "state": "optimized geometry",
  "cell": [[-3.9734, -0.1898, 0.8565], [1.4064, -1.5558, -3.4864], [3.2618, -6.2112, 4.0933]],
  "species": ["Br", "Ce", "Ir", "Dy"],
  "fractional_positions": [[0.9669, 0.3818, 0.3631], [0.0971, 0.9466, 0.0588], [0.3046, 0.5501, 0.8703], [0.5093, 0.1523, 0.6775]],
  "magnetic_moment_mub_per_atom": 0.201,
  "e_form_raw_ev_per_atom": -1.06,
  "crystal_system": "trigonal",
  "n_ef_per_ev_atom": 1.676,
  "mass_density_g_cm3": 8.6
}